# MnCoW

MnCoW at its PBEsol-relaxed geometry (meta-GGA SCAN, Alexandria).

Its calculated formation energy is 0.85 eV/atom. The calculation puts the energy at -34.228 eV/atom. For the theoretical density, the calculation gives 11436 kg/m3.

The structure belongs to space group F-43m (No. 216); the cell edges are 5.571, 5.571 and 5.571 Å and the angles 90.00°, 90.00° and 90.00°. The asymmetric unit holds Mn at (0.000, 0.000, 0.000), Co at (0.000, 0.000, 0.500) and W at (0.250, 0.250, 0.750).

***

# MnCo6W

MnCo6W at its PBEsol-relaxed geometry (meta-GGA SCAN, Alexandria).

Its calculated formation energy is 0.13 eV/atom. The calculation puts the energy at -23.846 eV/atom. For the theoretical density, the calculation gives 11486 kg/m3.

The structure belongs to space group Cmmm (No. 65); the cell edges are 6.986, 9.907 and 9.900 Å and the angles 90.00°, 90.00° and 90.00°. The asymmetric unit holds Mn at (0.000, 0.000, 0.246), Mn at (0.000, 0.255, 0.000), Co at (0.000, 0.000, 0.000), Co at (0.000, 0.000, 0.500), Co at (0.000, 0.248, 0.246), Co at (0.000, 0.500, 0.000), Co at (0.000, 0.500, 0.500), Co at (0.246, 0.124, 0.373), Co at (0.246, 0.126, 0.123), W at (0.000, 0.253, 0.500) and W at (0.000, 0.500, 0.248).

***

- Which of these has the lowest calculated formation energy?
  MnCo6W

***

- Look up the theoretical density of the second one.
  11486 kg/m3